ScV2O: optimized geometry, GGA+U.

Unit cell a=6.0974 b=6.0974 c=6.0974 alpha=119.21 beta=119.21 gamma=91.37
Fractional coordinates of all 8 atoms:
Sc1 0.0000 0.0000 0.0000
Sc2 0.7500 0.2500 0.5000
V1 0.3251 0.6250 0.2001
V2 0.3750 0.5751 0.7001
V3 0.4249 0.1250 0.7999
V4 0.8750 0.6749 0.2999
O1 0.2500 0.7500 0.5000
O2 0.5000 0.5000 0.0000

Results
The total energy is -26.60 eV per formula unit. The calculation puts the mass density at 3.34 g/cm3.